NiPb: relaxed, PBE.

## Properties
Formation energy, eV per atom: 0.338
Size of the total moment, μB/f.u.: 0.0

```
data_NiPb
_chemical_formula_sum 'Ni8 Pb8'
_symmetry_space_group_name_H-M 'I -4 3 m'
_symmetry_Int_Tables_number 217
_symmetry_space_group_name_Hall 'I -4 2 3'
_cell_length_a 7.744
_cell_length_b 7.744
_cell_length_c 7.744
_cell_angle_alpha 90.00
_cell_angle_beta 90.00
_cell_angle_gamma 90.00
loop_
_atom_site_label
_atom_site_type_symbol
_atom_site_fract_x
_atom_site_fract_y
_atom_site_fract_z
Ni1 Ni 0.112 0.112 0.112
Pb1 Pb 0.204 0.204 0.796
```